5
Lattice="3.721 0.000 0.000 0.000 3.721 0.000 0.000 0.000 4.077" Properties=species:S:1:pos:R:3 comment="VMoNO2 | Alexandria | PBE with a Hubbard U | optimized geometry" energy_ev_per_cell=-35.4 pbc="T T T"
V 0.000 0.000 0.000
Mo 1.860 1.860 2.039
N 0.000 0.000 2.039
O 0.000 1.860 0.000
O 1.860 0.000 0.000